(1)
First-principles (meta-GGA SCAN) data for Mg2Tc at its PBEsol-relaxed geometry, as listed in Alexandria.

Properties
- calculated formation energy (eV per atom) = 0.2711
- magnetic moment (μB per formula unit) = 0.00
- E_tot (eV for the cell shown) = -88.39
- energy above the lowest structure with this stoichiometry (meV per atom) = 191
- N(E_F) (states/eV per cell) = 4.26

Cell lengths 2.8675, 2.8675, 14.4261 Å; angles 90.00, 90.00, 120.00 degrees
Space group P-6m2 (No. 187)
Inequivalent atoms, fractional coordinates:
Mg (0.0000, 0.0000, 0.0000) [1 per cell]
Mg (0.0000, 0.0000, 0.3147) [2 per cell]
Mg (0.3333, 0.6667, 0.5000) [1 per cell]
Tc (0.3333, 0.6667, 0.1595) [2 per cell]


(2)
First-principles (meta-GGA SCAN) data for ZrTi2Co2 at its PBEsol-relaxed geometry, as listed in Alexandria.

Properties
- calculated formation energy (eV per atom) = -0.2301
- magnetic moment (μB per formula unit) = 0.00
- E_tot (eV for the cell shown) = -197.04
- N(E_F) (states/eV per cell) = 6.49

Cell lengths 4.013, 4.013, 9.461 Å; angles 90.00, 90.00, 90.00 degrees
Space group I4/mmm (No. 139)
Inequivalent atoms, fractional coordinates:
Zr (0.000, 0.000, 0.000) [2 per cell]
Ti (0.000, 0.500, 0.250) [4 per cell]
Co (0.000, 0.000, 0.385) [4 per cell]


(3)
First-principles (meta-GGA SCAN) data for DySi2Ag2 at its PBEsol-relaxed geometry, as listed in Alexandria.

Properties
- magnetic moment (μB per formula unit) = 0.00
- formation energy from raw total energies (meV/atom) = -413
- E_tot (eV for the cell shown) = -265.25
- N(E_F) (states/eV per cell) = 2.00

Cell lengths 4.089, 4.089, 10.618 Å; angles 90.00, 90.00, 90.00 degrees
Space group I4/mmm (No. 139)
Inequivalent atoms, fractional coordinates:
Dy (0.000, 0.000, 0.000) [2 per cell]
Si (0.000, 0.000, 0.393) [4 per cell]
Ag (0.000, 0.500, 0.250) [4 per cell]


Repeat the second record exactly.
First-principles (meta-GGA SCAN) data for ZrTi2Co2 at its PBEsol-relaxed geometry, as listed in Alexandria.

Properties
- calculated formation energy (eV per atom) = -0.2301
- magnetic moment (μB per formula unit) = 0.00
- E_tot (eV for the cell shown) = -197.04
- N(E_F) (states/eV per cell) = 6.49

Cell lengths 4.013, 4.013, 9.461 Å; angles 90.00, 90.00, 90.00 degrees
Space group I4/mmm (No. 139)
Inequivalent atoms, fractional coordinates:
Zr (0.000, 0.000, 0.000) [2 per cell]
Ti (0.000, 0.500, 0.250) [4 per cell]
Co (0.000, 0.000, 0.385) [4 per cell]


Number 2 is which compound? ZrTi2Co2